VASP calculation (PBE) on crystalline LaPrY5Ho2 at its relaxed geometry.

Cell lengths 9.973, 9.973, 9.973 Å; angles 127.83, 127.83, 76.89 degrees
Fractional coordinates of all 18 atoms:
La 0.250 0.250 0.000
La 0.750 0.750 0.000
Pr 0.250 0.750 0.500
Pr 0.750 0.250 0.500
Y 0.000 0.000 0.000
Y 0.069 0.569 0.902
Y 0.167 0.069 0.500
Y 0.333 0.833 0.902
Y 0.431 0.333 0.500
Y 0.500 0.500 0.000
Y 0.569 0.667 0.500
Y 0.667 0.167 0.098
Y 0.833 0.931 0.500
Y 0.931 0.431 0.098
Ho 0.117 0.383 0.500
Ho 0.383 0.883 0.265
Ho 0.617 0.117 0.735
Ho 0.883 0.617 0.500

Output
As for the total magnetic moment: 0.000 μB/atom. The symmetry is I4/mcm (140). The calculation puts the formation energy from the elements at 0.258 eV/atom. The raw total energy comes out at -97.73 eV for the cell shown.